First-principles (PBE) data for an optimized crystal structure of Ce7Pb2C2, as listed in the Alexandria database.

Calculated values
spin magnetization	0.57	μB/atom
energy relative to the elements	-0.04	eV/atom
DOS at the Fermi energy	29.09	states/eV per cell

```
11
Lattice="6.609 -0.002 -0.533 0.003 6.771 0.003 -0.944 -0.003 6.563" Properties=species:S:1:pos:R:3 pbc="T T T"
Pb 4.619 3.381 4.916
Ce 2.363 5.393 6.299
C 1.059 -0.003 4.682
Ce 3.305 1.372 -0.266
Ce 6.138 1.370 2.749
Ce 0.000 0.000 0.000
Ce 2.833 1.343 3.016
Ce 2.835 5.422 3.017
Pb 1.049 3.384 1.117
C 4.610 6.768 1.352
Ce -0.470 5.396 3.284
```



First-principles (PBE) data for an optimized crystal structure of CePm2PbC, as listed in the Alexandria database.

Calculated values
spin magnetization	0.11	μB/atom
energy relative to the elements	-0.41	eV/atom
DOS at the Fermi energy	6.53	states/eV per cell

```
5
Lattice="-1.732 0.733 4.556 3.691 -3.007 1.887 3.061 4.075 0.508" Properties=species:S:1:pos:R:3 pbc="T T T"
C 0.000 0.000 0.000
Pb 2.510 0.900 3.476
Pm 1.530 2.037 0.254
Pm 1.846 -1.504 0.944
Ce -0.866 0.367 2.278
```



First-principles (PBE) data for an optimized crystal structure of CePu2PbC, as listed in the Alexandria database.

Calculated values
spin magnetization	2.34	μB/atom
energy relative to the elements	-0.24	eV/atom
DOS at the Fermi energy	10.35	states/eV per cell

```
5
Lattice="5.059 0.000 0.000 0.000 4.886 0.000 0.000 0.000 4.886" Properties=species:S:1:pos:R:3 pbc="T T T"
Pu 0.000 0.000 2.443
Pb 2.529 2.443 2.443
Pu 0.000 2.443 0.000
C 0.000 0.000 0.000
Ce 2.529 0.000 0.000
```



First-principles (PBE) data for an optimized crystal structure of Ce6RuPb2C, as listed in the Alexandria database.

Calculated values
spin magnetization	0.47	μB/atom
energy relative to the elements	-0.31	eV/atom
DOS at the Fermi energy	26.14	states/eV per cell

```
10
Lattice="5.147 0.000 0.000 0.000 5.147 0.000 0.000 0.000 10.444" Properties=species:S:1:pos:R:3 pbc="T T T"
Pb 0.000 0.000 2.690
C 2.574 2.574 5.222
Ce 0.000 2.574 0.000
Ce 2.574 2.574 7.615
Ce 2.574 0.000 5.222
Ce 0.000 2.574 5.222
Ce 2.574 2.574 2.829
Ru 2.574 2.574 0.000
Ce 2.574 0.000 0.000
Pb 0.000 0.000 7.754
```



First-principles (PBE) data for an optimized crystal structure of Ce4SbPbC, as listed in the Alexandria database.

Calculated values
E_form (uncorrected)	-0.523	eV per atom
spin magnetization	0.49	μB/atom
DOS at the Fermi energy	35.30	states/eV per cell

```
14
Lattice="6.928 0.000 0.000 0.000 6.923 0.000 -3.464 0.000 8.208" Properties=species:S:1:pos:R:3 pbc="T T T"
Ce 3.464 1.731 6.711
Ce -1.732 0.000 4.104
C 3.464 1.731 4.122
Pb 0.000 1.731 6.452
Pb 3.464 5.192 1.756
Sb 0.000 1.731 1.815
Ce 0.000 5.192 1.497
C 0.000 5.192 4.086
Ce -1.732 3.461 4.104
Ce 0.000 5.192 6.677
Ce 3.464 1.731 1.531
Sb 3.464 5.192 6.393
Ce 1.732 3.461 4.104
Ce 1.732 0.000 4.104
```



First-principles (PBE) data for an optimized crystal structure of Ce2ScPbC, as listed in the Alexandria database.

Calculated values
spin magnetization	0.31	μB/atom
energy relative to the elements	-0.42	eV/atom
DOS at the Fermi energy	9.14	states/eV per cell

```
5
Lattice="-2.598 0.144 -3.880 1.674 -4.534 -1.289 -3.805 -2.107 2.470" Properties=species:S:1:pos:R:3 pbc="T T T"
Ce 0.837 -2.267 -0.645
C 0.000 0.000 0.000
Pb -2.365 -3.248 -1.350
Sc -1.299 0.072 -1.940
Ce -1.903 -1.054 1.235
```